DFT (PBE) results for crystalline NbNi2N at its relaxed geometry.

Geometry as extended XYZ:
```
8
Lattice="3.9650 -2.1177 0.0000 3.9650 2.1177 0.0000 -1.0820 0.0000 5.8608" Properties=species:S:1:pos:R:3 pbc="T T T"
Nb 1.5755 0.0000 1.0547
Nb 5.2725 0.0000 4.8061
Ni -0.0679 0.0000 3.9581
Ni 2.5429 0.0000 3.6267
Ni 4.3051 0.0000 2.2341
Ni 6.9159 0.0000 1.9027
N 1.4184 0.0000 5.0941
N 5.4296 0.0000 0.7667
```

Results
Raw total energy   -7.812 eV per atom
ΔE_f (raw)   -1.3 eV/f.u.
Fermi-level density of states   4.40 states/eV per cell